[1]
Material: Cr2PtRh
Method: DFT, GGA-PBE
State: optimized geometry

Computed properties:
calculated formation energy = -0.1235 eV per atom
space group = No. 123

abc: 3.7547 3.7547 3.7743
angles: 90.00 90.00 90.00
Last column: nearest neighbours and their distance in Å.
Element x y z (fractional)
Cr: 0.5000 0.5000 0.0000  4 Cr 2.65, 4 Rh 2.66, 4 Pt 2.66
Pt: 0.5000 0.0000 0.5000  4 Rh 2.65, 8 Cr 2.66
Rh: 0.0000 0.5000 0.5000  4 Pt 2.65, 8 Cr 2.66
Cr: 0.0000 0.0000 0.0000  4 Cr 2.65, 4 Rh 2.66, 4 Pt 2.66


[2]
Material: Cu2OsW
Method: DFT, GGA-PBE
State: optimized geometry

Computed properties:
calculated formation energy = 0.3795 eV per atom
distance to the lowest polymorph of the same formula = 158.2 meV per atom
space group = No. 10

abc: 4.0259 2.6553 5.8234
angles: 62.07 90.00 90.00
Last column: nearest neighbours and their distance in Å.
Element x y z (fractional)
W: 0.5000 0.7500 0.7500  2 Os 2.57, 2 W 2.66, 8 Cu 2.73-2.74
Cu: 0.0000 0.9990 0.0012  4 Cu 2.56-2.66, 4 Os 2.72-2.74, 4 W 2.73-2.74
Os: 0.5000 0.2500 0.2500  2 W 2.57, 2 Os 2.66, 8 Cu 2.72-2.74
Cu: 0.0000 0.5010 0.4988  4 Cu 2.56-2.66, 4 Os 2.72-2.74, 4 W 2.73-2.74


[3]
Material: ScMn2PBr
Method: DFT, GGA-PBE
State: optimized geometry

Computed properties:
formation energy (no corrections) = 0.916 eV/atom
space group = No. 123

abc: 5.6723 4.7435 5.6723
angles: 90.00 90.00 90.00
Last column: nearest neighbours and their distance in Å.
Element x y z (fractional)
Mn: 0.5000 0.0000 0.0000  2 Sc 2.84
Br: 0.5000 0.5000 0.5000  8 Mn 3.70, 4 P 4.01
Mn: 0.0000 0.0000 0.5000  2 Sc 2.84
Sc: 0.0000 0.0000 0.0000  2 P 2.37
P: 0.0000 0.5000 0.0000  2 Sc 2.37


[4]
Material: Ho3TmAl8
Method: DFT, GGA-PBE
State: optimized geometry

Computed properties:
calculated formation energy = -0.5111 eV per atom
distance to the lowest polymorph of the same formula = 0.0 meV per atom
space group = No. 160

abc: 5.5274 5.5274 9.6154
angles: 73.30 73.30 60.00
Last column: nearest neighbours and their distance in Å.
Element x y z (fractional)
Al: 0.9376 0.9376 0.6870  6 Al 2.76-2.78
Ho: 0.9996 0.9996 0.0011  12 Al 3.24-3.27, 1 Tm 3.38, 3 Ho 3.39
Al: 0.4373 0.4373 0.1880  6 Al 2.76-2.77
Al: 0.6874 0.6874 0.9377  6 Al 2.77-2.78
Ho: 0.3752 0.3752 0.8745  12 Al 3.24-3.26, 4 Ho 3.39
Al: 0.9376 0.4378 0.6870  6 Al 2.76-2.78
Al: 0.4378 0.9376 0.6870  6 Al 2.76-2.78
Ho: 0.4999 0.4999 0.5002  12 Al 3.24-3.25, 3 Tm 3.39, 1 Ho 3.39
Al: 0.9373 0.4373 0.1880  6 Al 2.76-2.77
Al: 0.4373 0.9373 0.1880  6 Al 2.76-2.77
Tm: 0.8753 0.8753 0.3742  12 Al 3.24-3.26, 4 Ho 3.38-3.39
Al: 0.1876 0.1876 0.4373  6 Al 2.77


[5]
Material: ZrTa4Ru5
Method: DFT, GGA-PBE
State: optimized geometry

Computed properties:
calculated formation energy = -0.3623 eV per atom
space group = No. 123

abc: 3.2370 3.2370 15.5929
angles: 90.00 90.00 90.00
Last column: nearest neighbours and their distance in Å.
Element x y z (fractional)
Ru: 0.5000 0.5000 0.6951  8 Ta 2.74-2.77, 2 Ru 3.04-3.06
Ru: 0.5000 0.5000 0.3049  8 Ta 2.74-2.77, 2 Ru 3.04-3.06
Zr: 0.0000 0.0000 0.0000  8 Ru 2.85
Ru: 0.5000 0.5000 0.1088  4 Ta 2.73, 4 Zr 2.85, 1 Ru 3.06
Ru: 0.5000 0.5000 0.5000  8 Ta 2.75, 2 Ru 3.04
Ta: 0.0000 0.0000 0.2046  8 Ru 2.73-2.77
Ta: 0.0000 0.0000 0.7954  8 Ru 2.73-2.77
Ta: 0.0000 0.0000 0.4019  8 Ru 2.74-2.75, 1 Ta 3.06
Ta: 0.0000 0.0000 0.5981  8 Ru 2.74-2.75, 1 Ta 3.06
Ru: 0.5000 0.5000 0.8912  4 Ta 2.73, 4 Zr 2.85, 1 Ru 3.06


[6]
Material: Ca2PuAu4
Method: DFT, GGA-PBE
State: optimized geometry

Computed properties:
calculated formation energy = -0.5043 eV per atom
space group = No. 139

abc: 5.2159 5.2159 7.6042
angles: 110.06 110.06 90.00
Last column: nearest neighbours and their distance in Å.
Element x y z (fractional)
Au: 0.6176 0.1176 0.2353  4 Ca 3.00-3.31, 2 Pu 3.04, 1 Au 3.13
Au: 0.1176 0.6176 0.2353  4 Ca 3.00-3.31, 2 Pu 3.04, 1 Au 3.13
Au: 0.8824 0.3824 0.7647  4 Ca 3.00-3.31, 2 Pu 3.04, 1 Au 3.13
Ca: 0.2708 0.2708 0.5416  8 Au 3.00-3.31
Pu: 0.0000 0.0000 0.0000  8 Au 3.04
Ca: 0.7292 0.7292 0.4584  8 Au 3.00-3.31
Au: 0.3824 0.8824 0.7647  4 Ca 3.00-3.31, 2 Pu 3.04, 1 Au 3.13


[7]
Material: TiSbS2
Method: DFT, GGA-PBE
State: optimized geometry

Computed properties:
formation energy (no corrections) = -0.344 eV/atom
space group = No. 122

abc: 6.2970 6.2970 6.8379
angles: 62.58 62.58 90.00
Last column: nearest neighbours and their distance in Å.
Element x y z (fractional)
Sb: 0.0000 0.0000 0.0000  4 S 2.88
S: 0.1972 0.6250 0.2500  2 Ti 2.33
Ti: 0.5000 0.5000 0.0000  4 S 2.33
S: 0.5528 0.1250 0.2500  2 Ti 2.33
S: 0.8750 0.8028 0.7500  2 Ti 2.33
Ti: 0.2500 0.7500 0.5000  4 S 2.33
Sb: 0.7500 0.2500 0.5000  4 S 2.88
S: 0.3750 0.4472 0.7500  2 Ti 2.33


[8]
Material: TlCrAg2
Method: DFT, GGA-PBE
State: optimized geometry

Computed properties:
calculated formation energy = 0.3592 eV per atom
space group = No. 216

abc: 4.7708 4.7708 4.7708
angles: 60.00 60.00 60.00
Last column: nearest neighbours and their distance in Å.
Element x y z (fractional)
Ag: 0.2500 0.2500 0.2500  4 Cr 2.92, 4 Ag 2.92
Tl: 0.7500 0.7500 0.7500  4 Ag 2.92, 4 Cr 2.92
Ag: 0.0000 0.0000 0.0000  4 Ag 2.92, 4 Tl 2.92
Cr: 0.5000 0.5000 0.5000  4 Tl 2.92, 4 Ag 2.92


[9]
Material: Ho5PtS4
Method: DFT, GGA-PBE
State: optimized geometry

Computed properties:
formation energy (no corrections) = -1.808 eV/atom
space group = No. 139

abc: 3.9151 3.9151 14.3604
angles: 97.83 97.83 90.00
Last column: nearest neighbours and their distance in Å.
Element x y z (fractional)
S: 0.1994 0.1994 0.3989  6 Ho 2.75-2.77
Ho: 0.5000 0.5000 0.0000  4 Pt 2.77, 2 S 2.96
Ho: 0.8981 0.8981 0.7961  5 S 2.75-2.77, 1 Pt 2.87
Pt: 0.0000 0.0000 0.0000  6 Ho 2.77-2.87
S: 0.3951 0.3951 0.7902  6 Ho 2.76-2.96
S: 0.6049 0.6049 0.2098  6 Ho 2.76-2.96
Ho: 0.7028 0.7028 0.4055  6 S 2.76-2.77
Ho: 0.1019 0.1019 0.2039  5 S 2.75-2.77, 1 Pt 2.87
S: 0.8006 0.8006 0.6011  6 Ho 2.75-2.77
Ho: 0.2972 0.2972 0.5945  6 S 2.76-2.77


[10]
Material: Cs6Rb2BiO
Method: DFT, GGA-PBE
State: optimized geometry

Computed properties:
formation energy (no corrections) = -0.358 eV/atom
space group = No. 12

abc: 9.3407 10.7037 14.3529
angles: 90.00 73.08 90.00
Last column: nearest neighbours and their distance in Å.
Element x y z (fractional)
Cs: 0.2602 0.8023 0.5251  1 O 3.03
Cs: 0.7406 0.8027 0.4749  1 O 3.03
Cs: 0.2594 0.1973 0.5251  1 O 3.03
Cs: 0.7594 0.3027 0.0251  1 O 3.03
Rb: 0.6458 0.4997 0.6966  1 Bi 3.67
O: 0.0000 0.5000 0.0000  6 Cs 3.00-3.03
Rb: 0.3542 0.5003 0.3034  1 Bi 3.67
Cs: 0.2406 0.6973 0.9749  1 O 3.03
O: 0.5000 0.0000 0.5000  6 Cs 3.00-3.03
Cs: 0.9372 0.5002 0.2169  1 O 3.00
Bi: 0.0000 0.5000 0.5000  2 Rb 3.67
Cs: 0.2398 0.3023 0.9749  1 O 3.03
Rb: 0.8542 0.9997 0.8034  1 Bi 3.67
Cs: 0.0628 0.4998 0.7831  1 O 3.00
Cs: 0.4372 0.9998 0.7169  1 O 3.00
Bi: 0.5000 0.0000 0.0000  2 Rb 3.67
Cs: 0.5628 0.0002 0.2831  1 O 3.00
Rb: 0.1458 0.0003 0.1966  1 Bi 3.67
Cs: 0.7602 0.6977 0.0251  1 O 3.03
Cs: 0.7398 0.1977 0.4749  1 O 3.03


[11]
Material: Ta3TiBi
Method: DFT, GGA-PBE
State: optimized geometry

Computed properties:
calculated formation energy = 1.2866 eV per atom
distance to the lowest polymorph of the same formula = 0.0 meV per atom
space group = No. 221

abc: 4.8026 4.8026 4.8026
angles: 90.00 90.00 90.00
Last column: nearest neighbours and their distance in Å.
Element x y z (fractional)
Bi: 0.5000 0.5000 0.5000  12 Ta 3.40
Ta: 0.0000 0.5000 0.0000  2 Ti 2.40
Ta: 0.5000 0.0000 0.0000  2 Ti 2.40
Ti: 0.0000 0.0000 0.0000  6 Ta 2.40
Ta: 0.0000 0.0000 0.5000  2 Ti 2.40


[12]
Material: TmSi4Pt2
Method: DFT, GGA-PBE
State: optimized geometry

Computed properties:
formation energy (no corrections) = -0.639 eV/atom
space group = No. 62

abc: 4.2438 6.5875 16.3683
angles: 90.00 90.00 90.00
Last column: nearest neighbours and their distance in Å.
Element x y z (fractional)
Si: 0.7500 0.9611 0.0635  4 Pt 2.47-2.65, 1 Si 2.71
Si: 0.2500 0.2567 0.6893  3 Pt 2.49-2.59, 2 Si 2.54-2.66
Si: 0.2500 0.3581 0.0413  3 Pt 2.48-2.52, 2 Si 2.54-2.71
Pt: 0.7500 0.2613 0.9727  7 Si 2.47-2.65
Si: 0.7500 0.7433 0.3107  3 Pt 2.49-2.59, 2 Si 2.54-2.66
Si: 0.7500 0.3413 0.3223  4 Pt 2.55-2.61, 1 Si 2.66
Pt: 0.7500 0.2387 0.4727  7 Si 2.47-2.65
Tm: 0.7500 0.9768 0.6427  10 Si 2.91-3.17, 4 Pt 3.17-3.18
Si: 0.2500 0.0389 0.9365  4 Pt 2.47-2.65, 1 Si 2.71
Pt: 0.2500 0.7613 0.5273  7 Si 2.47-2.65
Tm: 0.7500 0.5232 0.1427  10 Si 2.91-3.17, 4 Pt 3.17-3.18
Tm: 0.2500 0.4768 0.8573  10 Si 2.91-3.17, 4 Pt 3.17-3.18
Si: 0.2500 0.6587 0.6777  4 Pt 2.55-2.61, 1 Si 2.66
Si: 0.7500 0.6419 0.9587  3 Pt 2.48-2.52, 2 Si 2.54-2.71
Tm: 0.2500 0.0232 0.3573  10 Si 2.91-3.17, 4 Pt 3.17-3.18
Si: 0.7500 0.1587 0.8223  4 Pt 2.55-2.61, 1 Si 2.66
Pt: 0.2500 0.5542 0.2862  7 Si 2.49-2.61
Si: 0.2500 0.8413 0.1777  4 Pt 2.55-2.61, 1 Si 2.66
Si: 0.7500 0.5389 0.5635  4 Pt 2.47-2.65, 1 Si 2.71
Pt: 0.2500 0.7387 0.0273  7 Si 2.47-2.65
Si: 0.7500 0.8581 0.4587  3 Pt 2.48-2.52, 2 Si 2.54-2.71
Pt: 0.7500 0.4458 0.7138  7 Si 2.49-2.61
Si: 0.2500 0.4611 0.4365  4 Pt 2.47-2.65, 1 Si 2.71
Pt: 0.7500 0.0542 0.2138  7 Si 2.49-2.61
Si: 0.2500 0.2433 0.1893  3 Pt 2.49-2.59, 2 Si 2.54-2.66
Pt: 0.2500 0.9458 0.7862  7 Si 2.49-2.61
Si: 0.2500 0.1419 0.5413  3 Pt 2.48-2.52, 2 Si 2.54-2.71
Si: 0.7500 0.7567 0.8107  3 Pt 2.49-2.59, 2 Si 2.54-2.66


Calculated E, -8.2833, -7.7143, -5.4342, -4.5232, -10.5961, -4.9964, -5.4118, -4.0638, -6.3521, -1.9478, -8.1802, -6.1022 eV/atom (same order as the records).
Calculated spin magnetization, 0.231, 0.000, 1.965, 0.000, 0.000, 0.906, 0.242, 1.016, 0.000, 0.000, 0.000, 0.000 μB/atom (same order as the records).